1.
First-principles (PBE) data for a relaxed CdFeBr2 crystal, as listed in the Alexandria database.

Cell lengths 3.8282, 6.6738, 4.1062 Å; angles 90.00, 90.00, 90.00 degrees
Closest atoms and distances in Å follow each position.
Fractional positions:
Br 0.0000 0.0000 0.0000  4 Cd 2.81
Br 0.5000 0.5000 0.0000  4 Fe 2.81
Cd 0.5000 0.0000 0.5000  4 Br 2.81
Fe 0.0000 0.5000 0.5000  4 Br 2.81

## Properties
Magnetic moment in μB per formula unit: 3.277
Formation energy (no corrections) in eV per atom: 0.281
Symmetry: Pmmm (47)
Electronic total energy in eV per atom: -2.900
Energy relative to the lowest polymorph listed for this composition in kJ/mol of atoms: 38.50
Density of states at the Fermi level in states/eV per atom: 0.85

---

2.
First-principles (PBE) data for a relaxed TbYZr2P4 crystal, as listed in the Alexandria database.

Cell lengths 3.8527, 6.6791, 6.7580 Å; angles 109.29, 90.00, 90.00 degrees
Closest atoms and distances in Å follow each position.
Fractional positions:
Tb 0.5000 0.5000 0.0000  6 P 2.80
Y 0.0000 0.0000 0.0000  6 P 2.79-2.80
Zr 0.5000 0.0000 0.5000  6 P 2.68
Zr 0.0000 0.5000 0.5000  6 P 2.68-2.69
P 0.5000 0.2547 0.2650  3 Zr 2.68, 2 Y 2.79, 1 Tb 2.80
P 0.5000 0.7453 0.7350  3 Zr 2.68, 2 Y 2.79, 1 Tb 2.80
P 0.0000 0.2445 0.7347  3 Zr 2.68-2.69, 2 Tb 2.80, 1 Y 2.80
P 0.0000 0.7555 0.2653  3 Zr 2.68-2.69, 2 Tb 2.80, 1 Y 2.80

## Properties
Magnetic moment in μB per formula unit: 0.000
Symmetry: P2/m (10)
DFT formation energy in kJ/mol of atoms: -143.1
Electronic total energy in eV per atom: -7.712
Density of states at the Fermi level in states/eV per atom: 0.50

---

3.
First-principles (PBE) data for a relaxed Nd5GaPt2 crystal, as listed in the Alexandria database.

Cell lengths 8.0287, 8.0287, 8.8464 Å; angles 116.99, 116.99, 90.00 degrees
Closest atoms and distances in Å follow each position.
Fractional positions:
Nd 0.5202 0.6957 0.7159  3 Pt 3.02-3.06, 2 Ga 3.35
Nd 0.8043 0.9798 0.2841  3 Pt 3.02-3.06, 2 Ga 3.35
Nd 0.0000 0.0000 0.0000  4 Pt 3.14, 2 Ga 3.39
Nd 0.5000 0.5000 0.0000  4 Pt 3.14, 2 Ga 3.39
Nd 0.1957 0.0202 0.7159  3 Pt 3.02-3.06, 2 Ga 3.35
Nd 0.6957 0.1957 0.7159  3 Pt 3.02-3.06, 2 Ga 3.35
Nd 0.0202 0.5202 0.7159  3 Pt 3.02-3.06, 2 Ga 3.35
Nd 0.3043 0.8043 0.2841  3 Pt 3.02-3.06, 2 Ga 3.35
Nd 0.9798 0.4798 0.2841  3 Pt 3.02-3.06, 2 Ga 3.35
Nd 0.4798 0.3043 0.2841  3 Pt 3.02-3.06, 2 Ga 3.35
Ga 0.7500 0.7500 0.5000  10 Nd 3.35-3.39
Ga 0.2500 0.2500 0.5000  10 Nd 3.35-3.39
Pt 0.1325 0.3675 0.0000  1 Pt 3.01, 8 Nd 3.02-3.14
Pt 0.6325 0.1325 0.0000  1 Pt 3.01, 8 Nd 3.02-3.14
Pt 0.3675 0.8675 0.0000  1 Pt 3.01, 8 Nd 3.02-3.14
Pt 0.8675 0.6325 0.0000  1 Pt 3.01, 8 Nd 3.02-3.14

## Properties
Magnetic moment in μB per formula unit: 0.000
Symmetry: I4/mcm (140)
DFT formation energy in kJ/mol of atoms: -70.7
Electronic total energy in eV per atom: -5.601
Density of states at the Fermi level in states/eV per atom: 0.93

---

4.
First-principles (PBE) data for a relaxed Ac8GaPd3I4 crystal, as listed in the Alexandria database.

Cell lengths 9.0946, 9.9784, 9.0962 Å; angles 117.14, 119.99, 90.00 degrees
Closest atoms and distances in Å follow each position.
Fractional positions:
Ac 0.2350 0.6914 0.9567  2 Pd 3.06, 1 Ga 3.15
Ac 0.2349 0.6914 0.4699  2 Pd 3.06, 1 Ga 3.15
Ac 0.2687 0.3064 0.5373  3 Pd 3.10
Ac 0.7217 0.6914 0.9567  2 Pd 3.06, 1 Ga 3.15
Ac 0.2783 0.3086 0.0433  2 Pd 3.06, 1 Ga 3.15
Ac 0.7313 0.6936 0.4627  3 Pd 3.10
Ac 0.7651 0.3086 0.5301  2 Pd 3.06, 1 Ga 3.15
Ac 0.7650 0.3086 0.0433  2 Pd 3.06, 1 Ga 3.15
Ga 0.0000 0.5000 0.0000  6 Ac 3.15
Pd 0.5000 0.5000 0.0000  6 Ac 3.06-3.10
Pd 0.5000 0.5000 0.5000  6 Ac 3.06-3.10
Pd 0.0000 0.5000 0.5000  6 Ac 3.06-3.10
I 0.5000 0.0000 0.0000  6 Ac 3.66
I 0.5000 0.0000 0.5000  6 Ac 3.70-3.73
I 0.0000 0.0000 0.0000  6 Ac 3.69-3.73
I 0.0000 0.0000 0.5000  6 Ac 3.70-3.73

## Properties
Magnetic moment in μB per formula unit: 0.000
Formation energy (no corrections) in eV per atom: -0.883
Symmetry: R-3m (166)
Electronic total energy in eV per atom: -4.487
Density of states at the Fermi level in states/eV per atom: 0.91

---

5.
First-principles (PBE) data for a relaxed Mn2TlRu crystal, as listed in the Alexandria database.

Cell lengths 8.8994, 8.8994, 8.8994 Å; angles 18.89, 18.89, 18.89 degrees
Closest atoms and distances in Å follow each position.
Fractional positions:
Mn 0.9909 0.9909 0.9909  9 Mn 2.61-2.92
Mn 0.2481 0.2481 0.2481  3 Ru 2.51, 3 Mn 2.61
Ru 0.5104 0.5104 0.5104  3 Mn 2.51
Tl 0.7505 0.7505 0.7505  6 Tl 2.92, 3 Mn 2.96, 3 Ru 2.97

## Properties
Magnetic moment in μB per formula unit: 5.339
Symmetry: R3m (160)
DFT formation energy in kJ/mol of atoms: 55.1
Electronic total energy in eV per atom: -6.924
Energy relative to the lowest polymorph listed for this composition in kJ/mol of atoms: 21.93
Density of states at the Fermi level in states/eV per atom: 1.19